Here is an optimized crystal structure of MgSiIr from Alexandria. Energies are from GGA-PBE.

Properties
Electronic total energy (eV per atom): -5.823
Total magnetic moment (μB/cell): 0.0
Density of states at the Fermi level (states/eV per cell): 4.58

```
MgSiIr
1.0
4.927 0.000 0.000
0.000 5.550 0.000
0.000 0.000 6.719
Mg Si Ir
4 4 4
Direct
0.000 0.250 0.132
0.000 0.750 0.868
0.500 0.250 0.368
0.500 0.750 0.632
0.250 0.250 0.750
0.250 0.750 0.250
0.750 0.250 0.750
0.750 0.750 0.250
0.000 0.000 0.500
0.000 0.500 0.500
0.500 0.000 0.000
0.500 0.500 0.000
```